No. 1
First-principles (GGA-PBE) data for an optimized crystal structure of CaGeF4, as listed in Alexandria via LeMat-Bulk.

Calculated density (kg/m³): 2850
DOS at the Fermi energy (states/eV/atom): 0.00
Formation energy (no corrections) (eV per atom): -2.7169

Structure (POSCAR):
```
CaGeF4
1.0
-3.082 3.082 2.895
3.082 -3.082 2.895
3.082 3.082 -2.895
Ca Ge F
1 1 4
direct
0.000 0.000 0.000 Ca
0.250 0.750 0.500 Ge
0.086 0.625 0.032 F
0.375 0.407 0.461 F
0.593 0.054 0.968 F
0.946 0.914 0.539 F
```

=====

No. 2
First-principles (GGA-PBE) data for an optimized crystal structure of Ca2GeF, as listed in Alexandria via LeMat-Bulk.

Calculated density (kg/m³): 3174
DOS at the Fermi energy (states/eV/atom): 0.18
Formation energy (no corrections) (eV per atom): -1.5297

Structure (POSCAR):
```
Ca2GeF
1.0
1.961 1.132 6.748
-1.961 1.132 6.748
0.000 -2.264 6.748
Ca Ge F
2 1 1
direct
0.243 0.243 0.243 Ca
0.757 0.757 0.757 Ca
0.000 0.000 0.000 Ge
0.500 0.500 0.500 F
```

=====

No. 3
First-principles (GGA-PBE) data for an optimized crystal structure of Ca10Ge6F, as listed in Alexandria via LeMat-Bulk.

Calculated density (kg/m³): 3219
DOS at the Fermi energy (states/eV/atom): 0.88
Formation energy (no corrections) (eV per atom): -0.9255

Structure (POSCAR):
```
Ca10Ge6F
1.0
-3.875 3.875 7.349
3.875 -3.875 7.349
3.875 3.875 -7.349
Ca Ge F
10 6 1
direct
0.068 0.713 0.000 Ca
0.231 0.231 0.666 Ca
0.250 0.750 0.500 Ca
0.287 0.287 0.355 Ca
0.435 0.769 0.000 Ca
0.565 0.565 0.334 Ca
0.713 0.068 0.000 Ca
0.750 0.250 0.500 Ca
0.769 0.435 0.000 Ca
0.932 0.932 0.645 Ca
0.000 0.500 0.500 Ge
0.129 0.365 0.000 Ge
0.365 0.129 0.000 Ge
0.500 0.000 0.500 Ge
0.635 0.635 0.763 Ge
0.871 0.871 0.237 Ge
0.500 0.500 0.000 F
```

=====

No. 4
First-principles (GGA-PBE) data for an optimized crystal structure of Ca3Ge5F12, as listed in Alexandria via LeMat-Bulk.

Calculated density (kg/m³): 3460
DOS at the Fermi energy (states/eV/atom): 0.50
Formation energy (no corrections) (eV per atom): -2.1929

Structure (POSCAR):
```
Ca3Ge5F12
1.0
-6.989 6.989 6.989
6.989 -6.989 6.989
6.989 6.989 -6.989
Ca Ge F
12 20 48
direct
0.125 0.250 0.375 Ca
0.125 0.375 0.750 Ca
0.250 0.375 0.125 Ca
0.250 0.875 0.625 Ca
0.375 0.125 0.250 Ca
0.375 0.750 0.125 Ca
0.625 0.250 0.875 Ca
0.625 0.875 0.750 Ca
0.750 0.125 0.375 Ca
0.750 0.625 0.875 Ca
0.875 0.625 0.250 Ca
0.875 0.750 0.625 Ca
0.000 0.000 0.000 Ge
0.000 0.000 0.500 Ge
0.000 0.500 0.000 Ge
0.000 0.500 0.500 Ge
0.125 0.750 0.875 Ge
0.125 0.875 0.250 Ge
0.250 0.125 0.875 Ge
0.250 0.625 0.375 Ge
0.375 0.250 0.625 Ge
0.375 0.625 0.750 Ge
0.500 0.000 0.000 Ge
0.500 0.000 0.500 Ge
0.500 0.500 0.000 Ge
0.500 0.500 0.500 Ge
0.625 0.375 0.250 Ge
0.625 0.750 0.375 Ge
0.750 0.375 0.625 Ge
0.750 0.875 0.125 Ge
0.875 0.125 0.750 Ge
0.875 0.250 0.125 Ge
0.055 0.715 0.658 F
0.055 0.840 0.397 F
0.057 0.215 0.160 F
0.057 0.342 0.897 F
0.103 0.660 0.445 F
0.103 0.943 0.658 F
0.158 0.215 0.555 F
0.158 0.443 0.603 F
0.160 0.057 0.215 F
0.160 0.603 0.945 F
0.215 0.160 0.057 F
0.215 0.555 0.158 F
0.285 0.342 0.945 F
0.285 0.443 0.340 F
0.340 0.285 0.443 F
0.340 0.555 0.897 F
0.342 0.897 0.057 F
0.342 0.945 0.285 F
0.397 0.055 0.840 F
0.397 0.842 0.557 F
0.443 0.340 0.285 F
0.443 0.603 0.158 F
0.445 0.103 0.660 F
0.445 0.842 0.785 F
0.555 0.158 0.215 F
0.555 0.897 0.340 F
0.557 0.397 0.842 F
0.557 0.660 0.715 F
0.603 0.158 0.443 F
0.603 0.945 0.160 F
0.658 0.055 0.715 F
0.658 0.103 0.943 F
0.660 0.445 0.103 F
0.660 0.715 0.557 F
0.715 0.557 0.660 F
0.715 0.658 0.055 F
0.785 0.445 0.842 F
0.785 0.840 0.943 F
0.840 0.397 0.055 F
0.840 0.943 0.785 F
0.842 0.557 0.397 F
0.842 0.785 0.445 F
0.897 0.057 0.342 F
0.897 0.340 0.555 F
0.943 0.658 0.103 F
0.943 0.785 0.840 F
0.945 0.160 0.603 F
0.945 0.285 0.342 F
```

=====

No. 5
First-principles (GGA-PBE) data for an optimized crystal structure of Ca2GeF, as listed in Alexandria via LeMat-Bulk.

Calculated density (kg/m³): 3040
DOS at the Fermi energy (states/eV/atom): 0.31
Formation energy (no corrections) (eV per atom): -1.5614

Structure (POSCAR):
```
Ca2GeF
1.0
-3.497 3.497 3.836
3.497 -3.497 3.836
3.497 3.497 -3.836
Ca Ge F
4 2 2
direct
0.054 0.125 0.429 Ca
0.375 0.946 0.071 Ca
0.696 0.625 0.571 Ca
0.875 0.304 0.929 Ca
0.250 0.750 0.500 Ge
0.500 0.500 0.000 Ge
0.000 0.000 0.000 F
0.750 0.250 0.500 F
```

=====

No. 6
First-principles (GGA-PBE) data for an optimized crystal structure of CaGeF2, as listed in Alexandria via LeMat-Bulk.

Calculated density (kg/m³): 3678
DOS at the Fermi energy (states/eV/atom): 0.03
Formation energy (no corrections) (eV per atom): -1.9069

Structure (POSCAR):
```
CaGeF2
1.0
2.157 1.245 4.223
-2.157 1.245 4.223
0.000 -2.491 4.223
Ca Ge F
1 1 2
direct
0.000 0.000 0.000 Ca
0.500 0.500 0.500 Ge
0.178 0.178 0.178 F
0.822 0.822 0.822 F
```

=====

No. 7
First-principles (GGA-PBE) data for an optimized crystal structure of CaGe2F6, as listed in Alexandria via LeMat-Bulk.

Calculated density (kg/m³): 2931
DOS at the Fermi energy (states/eV/atom): 0.00
Formation energy (no corrections) (eV per atom): -2.6395

Structure (POSCAR):
```
CaGe2F6
1.0
6.805 -4.442 0.000
6.805 4.442 0.000
-1.200 0.000 5.610
Ca Ge F
2 4 12
direct
0.125 0.875 0.750 Ca
0.875 0.125 0.250 Ca
0.107 0.397 0.776 Ge
0.397 0.107 0.276 Ge
0.603 0.893 0.724 Ge
0.893 0.603 0.224 Ge
0.042 0.149 0.609 F
0.149 0.042 0.109 F
0.201 0.585 0.829 F
0.237 0.319 0.469 F
0.319 0.237 0.969 F
0.415 0.799 0.671 F
0.585 0.201 0.329 F
0.681 0.763 0.031 F
0.763 0.681 0.531 F
0.799 0.415 0.171 F
0.851 0.958 0.891 F
0.958 0.851 0.391 F
```

=====

No. 8
First-principles (GGA-PBE) data for an optimized crystal structure of CaGeF, as listed in Alexandria via LeMat-Bulk.

Calculated density (kg/m³): 3852
Formation energy (no corrections) (eV per atom): -2.1591

Structure (POSCAR):
```
CaGeF
1.0
1.981 1.144 8.353
-1.981 1.144 8.353
0.000 -2.287 8.353
Ca Ge F
2 2 2
direct
0.104 0.104 0.104 Ca
0.896 0.896 0.896 Ca
0.355 0.355 0.355 Ge
0.645 0.645 0.645 Ge
0.198 0.198 0.198 F
0.802 0.802 0.802 F
```

=====

No. 9
First-principles (GGA-PBE) data for an optimized crystal structure of CaGe2F, as listed in Alexandria via LeMat-Bulk.

Calculated density (kg/m³): 4186
DOS at the Fermi energy (states/eV/atom): 0.94
Formation energy (no corrections) (eV per atom): -0.3401

Structure (POSCAR):
```
CaGe2F
1.0
0.000 3.435 3.435
3.435 0.000 3.435
3.435 3.435 0.000
Ca Ge F
1 2 1
direct
0.000 0.000 0.000 Ca
0.250 0.250 0.250 Ge
0.750 0.750 0.750 Ge
0.500 0.500 0.500 F
```

=====

No. 10
First-principles (GGA-PBE) data for an optimized crystal structure of CaGe3F, as listed in Alexandria via LeMat-Bulk.

Calculated density (kg/m³): 4471
DOS at the Fermi energy (states/eV/atom): 0.64
Formation energy (no corrections) (eV per atom): -0.3965

Structure (POSCAR):
```
CaGe3F
1.0
4.686 0.000 0.000
0.000 4.686 0.000
0.000 0.000 4.686
Ca Ge F
1 3 1
direct
0.000 0.000 0.000 Ca
0.000 0.500 0.500 Ge
0.500 0.000 0.500 Ge
0.500 0.500 0.000 Ge
0.500 0.500 0.500 F
```

=====

No. 11
First-principles (GGA-PBE) data for an optimized crystal structure of CaGeF3, as listed in Alexandria via LeMat-Bulk.

Calculated density (kg/m³): 3122
DOS at the Fermi energy (states/eV/atom): 0.80
Formation energy (no corrections) (eV per atom): -1.9690

Structure (POSCAR):
```
CaGeF3
1.0
4.486 0.000 0.000
0.000 4.486 0.000
0.000 0.000 4.486
Ca Ge F
1 1 3
direct
0.000 0.000 0.000 Ca
0.500 0.500 0.500 Ge
0.000 0.500 0.500 F
0.500 0.000 0.500 F
0.500 0.500 0.000 F
```

=====

No. 12
First-principles (GGA-PBE) data for an optimized crystal structure of CaGe2F6, as listed in Alexandria via LeMat-Bulk.

Calculated density (kg/m³): 3374
DOS at the Fermi energy (states/eV/atom): 0.00
Formation energy (no corrections) (eV per atom): -2.6801

Structure (POSCAR):
```
CaGe2F6
1.0
4.635 -5.932 0.000
4.635 5.932 0.000
-3.428 0.000 5.358
Ca Ge F
2 4 12
direct
0.095 0.905 0.750 Ca
0.905 0.095 0.250 Ca
0.257 0.486 0.893 Ge
0.486 0.257 0.393 Ge
0.514 0.743 0.607 Ge
0.743 0.514 0.107 Ge
0.057 0.191 0.692 F
0.089 0.637 0.861 F
0.191 0.057 0.192 F
0.223 0.439 0.566 F
0.363 0.911 0.639 F
0.439 0.223 0.066 F
0.561 0.777 0.934 F
0.637 0.089 0.361 F
0.777 0.561 0.434 F
0.809 0.943 0.808 F
0.911 0.363 0.139 F
0.943 0.809 0.308 F
```

=====

No. 13
First-principles (GGA-PBE) data for an optimized crystal structure of CaGeF3, as listed in Alexandria via LeMat-Bulk.

Calculated density (kg/m³): 3235
DOS at the Fermi energy (states/eV/atom): 0.40
Formation energy (no corrections) (eV per atom): -2.3722

Structure (POSCAR):
```
CaGeF3
1.0
4.433 0.000 0.000
0.000 4.433 0.000
0.000 0.000 4.433
Ca Ge F
1 1 3
direct
0.000 0.000 0.000 Ca
0.500 0.500 0.500 Ge
0.000 0.000 0.500 F
0.000 0.500 0.000 F
0.500 0.000 0.000 F
```

=====

No. 14
First-principles (GGA-PBE) data for an optimized crystal structure of CaGe2F, as listed in Alexandria via LeMat-Bulk.

Calculated density (kg/m³): 4276
DOS at the Fermi energy (states/eV/atom): 0.42
Formation energy (no corrections) (eV per atom): -1.2422

Structure (POSCAR):
```
CaGe2F
1.0
-1.800 1.800 12.246
1.800 -1.800 12.246
1.800 1.800 -12.246
Ca Ge F
2 4 2
direct
0.000 0.000 0.000 Ca
0.750 0.250 0.500 Ca
0.121 0.125 0.496 Ge
0.375 0.879 0.004 Ge
0.629 0.625 0.504 Ge
0.875 0.371 0.996 Ge
0.250 0.750 0.500 F
0.500 0.500 0.000 F
```

=====

No. 15
First-principles (GGA-PBE) data for an optimized crystal structure of CaGeF2, as listed in Alexandria via LeMat-Bulk.

Calculated density (kg/m³): 2730
DOS at the Fermi energy (states/eV/atom): 0.32
Formation energy (no corrections) (eV per atom): -2.0489

Structure (POSCAR):
```
CaGeF2
1.0
-2.981 2.981 5.157
2.981 -2.981 5.157
2.981 2.981 -5.157
Ca Ge F
2 2 4
direct
0.000 0.000 0.000 Ca
0.750 0.250 0.500 Ca
0.250 0.750 0.500 Ge
0.500 0.500 0.000 Ge
0.017 0.625 0.892 F
0.375 0.267 0.392 F
0.733 0.125 0.108 F
0.875 0.983 0.608 F
```

=====

No. 16
First-principles (GGA-PBE) data for an optimized crystal structure of CaGeF6, as listed in Alexandria via LeMat-Bulk.

Calculated density (kg/m³): 3305
DOS at the Fermi energy (states/eV/atom): 0.00
Formation energy (no corrections) (eV per atom): -3.0391

Structure (POSCAR):
```
CaGeF6
1.0
5.182 0.000 0.000
-2.591 4.488 0.000
0.000 0.000 4.898
Ca Ge F
1 1 6
direct
0.000 0.000 0.000 Ca
0.333 0.667 0.500 Ge
0.050 0.376 0.282 F
0.050 0.673 0.718 F
0.327 0.376 0.718 F
0.327 0.950 0.282 F
0.624 0.673 0.282 F
0.624 0.950 0.718 F
```

=====

No. 17
First-principles (GGA-PBE) data for an optimized crystal structure of CaGeF2, as listed in Alexandria via LeMat-Bulk.

Calculated density (kg/m³): 3815
DOS at the Fermi energy (states/eV/atom): 0.66
Formation energy (no corrections) (eV per atom): -1.6421

Structure (POSCAR):
```
CaGeF2
1.0
0.000 3.201 3.201
3.201 0.000 3.201
3.201 3.201 0.000
Ca Ge F
1 1 2
direct
0.000 0.000 0.000 Ca
0.500 0.500 0.500 Ge
0.250 0.250 0.250 F
0.750 0.750 0.750 F
```

=====

No. 18
First-principles (GGA-PBE) data for an optimized crystal structure of CaGeF4, as listed in Alexandria via LeMat-Bulk.

Calculated density (kg/m³): 3387
DOS at the Fermi energy (states/eV/atom): 0.00
Formation energy (no corrections) (eV per atom): -2.7916

Structure (POSCAR):
```
CaGeF4
1.0
-3.829 3.829 1.578
3.829 -3.829 1.578
3.829 3.829 -1.578
Ca Ge F
1 1 4
direct
0.000 0.000 0.000 Ca
0.750 0.250 0.500 Ge
0.239 0.475 0.756 F
0.518 0.761 0.236 F
0.525 0.282 0.764 F
0.718 0.482 0.244 F
```

=====

No. 19
First-principles (GGA-PBE) data for an optimized crystal structure of CaGe3F, as listed in Alexandria via LeMat-Bulk.

Calculated density (kg/m³): 2691
DOS at the Fermi energy (states/eV/atom): 1.74
Formation energy (no corrections) (eV per atom): 0.8185

Structure (POSCAR):
```
CaGe3F
1.0
5.550 0.000 0.000
0.000 5.550 0.000
0.000 0.000 5.550
Ca Ge F
1 3 1
direct
0.000 0.000 0.000 Ca
0.000 0.000 0.500 Ge
0.000 0.500 0.000 Ge
0.500 0.000 0.000 Ge
0.500 0.500 0.500 F
```

=====

No. 20
First-principles (GGA-PBE) data for an optimized crystal structure of CaHg2GeF, as listed in Alexandria via LeMat-Bulk.

Calculated density (kg/m³): 7109
DOS at the Fermi energy (states/eV/atom): 0.46
Formation energy (no corrections) (eV per atom): -0.5217

Structure (POSCAR):
```
CaHg2GeF
1.0
5.382 0.000 0.000
0.000 5.382 0.000
0.000 0.000 4.297
Ca Hg Ge F
1 2 1 1
direct
0.000 0.000 0.000 Ca
0.000 0.500 0.500 Hg
0.500 0.000 0.500 Hg
0.500 0.500 0.000 Ge
0.500 0.500 0.500 F
```